The following is a PBE calculation of a relaxed structure of Th2Ge3PIr4, from Alexandria.

Unit cell a=4.2888 b=4.2888 c=9.9445 alpha=90.00 beta=90.00 gamma=90.00
With the nearest neighbours (Å) after each atom.
Element x y z (fractional)
Th1 0.0000 0.5000 0.2454  2 P 3.25, 6 Ge 3.25, 9 Ir 3.30-3.59
Th2 0.5000 0.0000 0.7546  2 P 3.25, 6 Ge 3.25, 9 Ir 3.30-3.59
Ge1 0.0000 0.0000 0.0000  4 Ir 2.43
Ge2 0.0000 0.5000 0.6365  5 Ir 2.47-2.54
Ge3 0.5000 0.0000 0.3635  5 Ir 2.47-2.54
P1 0.5000 0.5000 0.0000  4 Ir 2.43
Ir1 0.0000 0.0000 0.5000  4 Ge 2.54
Ir2 0.0000 0.5000 0.8847  2 P 2.43, 3 Ge 2.43-2.47
Ir3 0.5000 0.0000 0.1153  2 P 2.43, 3 Ge 2.43-2.47
Ir4 0.5000 0.5000 0.5000  4 Ge 2.54

Its final energy is -7.82 eV per atom.

=====

The following is a PBE calculation of a relaxed structure of ErBe2Fe3, from Alexandria.

Unit cell a=4.9263 b=4.9263 c=3.6011 alpha=90.00 beta=90.00 gamma=120.00
With the nearest neighbours (Å) after each atom.
Element x y z (fractional)
Er1 0.0000 0.0000 0.0000  6 Be 2.84, 12 Fe 3.05
Be1 0.3333 0.6667 0.0000  6 Fe 2.29
Be2 0.6667 0.3333 0.0000  6 Fe 2.29
Fe1 0.0000 0.5000 0.5000  4 Be 2.29, 4 Fe 2.46
Fe2 0.5000 0.0000 0.5000  4 Be 2.29, 4 Fe 2.46
Fe3 0.5000 0.5000 0.5000  4 Be 2.29, 4 Fe 2.46

Its final energy is -6.40 eV per atom.

=====

The following is a PBE calculation of a relaxed structure of Hf2AlVRh, from Alexandria.

Unit cell a=4.9712 b=4.9712 c=4.3242 alpha=90.00 beta=90.00 gamma=90.00
With the nearest neighbours (Å) after each atom.
Element x y z (fractional)
Hf1 0.0000 0.5000 0.0000  2 Al 2.49
Hf2 0.5000 0.0000 0.0000  2 Al 2.49
Al1 0.0000 0.0000 0.0000  2 Rh 2.16
V1 0.5000 0.5000 0.5000  8 Hf 3.29, 4 Rh 3.52
Rh1 0.0000 0.0000 0.5000  2 Al 2.16

Its final energy is -7.24 eV per atom.

=====

no.,total moment (Bohr magnetons per cell),DFT formation energy (eV per atom)
1,0.000,-0.869
2,4.675,-0.165
3,2.767,0.788